A relaxed PuFe2BiO6 crystal. Source: Alexandria, functional GGA+U.

E in eV/atom: -7.714

Geometry as CIF:
```
data_PuFe2BiO6
_chemical_formula_sum 'Pu1 Fe2 Bi1 O6'
_cell_length_a 5.590
_cell_length_b 5.618
_cell_length_c 5.901
_cell_angle_alpha 62.66
_cell_angle_beta 62.78
_cell_angle_gamma 60.20
_symmetry_space_group_name_H-M 'P 1'
_symmetry_Int_Tables_number 1
_symmetry_space_group_name_Hall 'P 1'
loop_
_atom_site_label
_atom_site_fract_x
_atom_site_fract_y
_atom_site_fract_z
_atom_site_occupancy
Pu1 0.000 0.000 0.000 1
Fe1 0.204 0.210 0.379 1
Fe2 0.711 0.685 0.902 1
Bi1 0.494 0.492 0.523 1
O1 0.070 0.394 0.699 1
O2 0.274 0.922 0.214 1
O3 0.406 0.817 0.725 1
O4 0.598 0.293 0.196 1
O5 0.821 0.056 0.723 1
O6 0.909 0.600 0.192 1
```